*1*
VASP calculation (PBE) on a relaxed BaSc2Os crystal.

Unit cell a=7.1168 b=7.1168 c=7.1168 alpha=90.00 beta=90.00 gamma=90.00
Space group Fm-3m (No. 225)
One atom of each set of equivalent atoms:
1 Ba 0.0000 0.0000 0.0000 (multiplicity 4)
2 Sc 0.2500 0.2500 0.2500 (multiplicity 8)
3 Os 0.0000 0.0000 0.5000 (multiplicity 4)

The density of states at the Fermi level is 14.97 states/eV per cell. As for the density: 7.69 g/cm3. As for the magnetization: 0.000 μB per atom.

*2*
VASP calculation (PBE) on a relaxed BaSc2Os crystal.

Unit cell a=7.3404 b=4.2406 c=8.0282 alpha=90.00 beta=107.83 gamma=90.00
Space group C2/m (No. 12)
One atom of each set of equivalent atoms:
1 Ba 0.0000 0.0000 0.0000 (multiplicity 2)
2 Sc 0.2110 0.0000 0.6323 (multiplicity 4)
3 Os 0.0000 0.5000 0.5000 (multiplicity 2)

The density of states at the Fermi level is 6.42 states/eV per cell. As for the density: 5.83 g/cm3. As for the magnetization: 0.000 μB per atom.

How do the energies compare? Relative to the most stable structure, in meV/atom: *1* 327; *2* 0.

*1*
VASP calculation (PBE) on a relaxed BaSc3Os crystal.

Unit cell a=5.2249 b=5.2249 c=5.2249 alpha=90.00 beta=90.00 gamma=90.00
Space group Pm-3m (No. 221)
One atom of each set of equivalent atoms:
1 Ba 0.0000 0.0000 0.0000 (multiplicity 1)
2 Sc 0.0000 0.5000 0.5000 (multiplicity 3)
3 Os 0.5000 0.5000 0.5000 (multiplicity 1)

The density of states at the Fermi level is 6.58 states/eV per cell. As for the density: 5.38 g/cm3. As for the magnetization: 0.000 μB per atom.

*2*
VASP calculation (PBE) on a relaxed BaSc3Os crystal.

Unit cell a=5.0572 b=5.0572 c=5.0572 alpha=90.00 beta=90.00 gamma=90.00
Space group Pm-3m (No. 221)
One atom of each set of equivalent atoms:
1 Ba 0.0000 0.0000 0.0000 (multiplicity 1)
2 Sc 0.0000 0.0000 0.5000 (multiplicity 3)
3 Os 0.5000 0.5000 0.5000 (multiplicity 1)

The density of states at the Fermi level is 8.17 states/eV per cell. As for the density: 5.94 g/cm3. As for the magnetization: 0.000 μB per atom.

How do the energies compare? Relative to the most stable structure, in meV/atom: *1* 0; *2* 2020.

*1*
VASP calculation (PBE) on a relaxed BaSiOs3 crystal.

Unit cell a=4.6328 b=4.6328 c=4.6328 alpha=90.00 beta=90.00 gamma=90.00
Space group Pm-3m (No. 221)
One atom of each set of equivalent atoms:
1 Ba 0.0000 0.0000 0.0000 (multiplicity 1)
2 Si 0.5000 0.5000 0.5000 (multiplicity 1)
3 Os 0.0000 0.5000 0.5000 (multiplicity 3)

The density of states at the Fermi level is 7.81 states/eV per cell. As for the density: 12.29 g/cm3. As for the magnetization: 0.215 μB per atom.

*2*
VASP calculation (PBE) on a relaxed BaSiOs3 crystal.

Unit cell a=5.0737 b=5.0737 c=5.0737 alpha=90.00 beta=90.00 gamma=90.00
Space group Pm-3m (No. 221)
One atom of each set of equivalent atoms:
1 Ba 0.0000 0.0000 0.0000 (multiplicity 1)
2 Si 0.5000 0.5000 0.5000 (multiplicity 1)
3 Os 0.0000 0.0000 0.5000 (multiplicity 3)

The density of states at the Fermi level is 7.78 states/eV per cell. As for the density: 9.36 g/cm3. As for the magnetization: 0.786 μB per atom.

How do the energies compare? Relative to the most stable structure, in meV/atom: *1* 0; *2* 2876.

*1*
VASP calculation (PBE) on a relaxed Ba2SiOs2 crystal.

Unit cell a=6.3382 b=6.3382 c=7.1637 alpha=90.00 beta=90.00 gamma=90.00
Space group I4/mmm (No. 139)
One atom of each set of equivalent atoms:
1 Ba 0.0000 0.5000 0.2500 (multiplicity 4)
2 Si 0.0000 0.0000 0.0000 (multiplicity 2)
3 Os 0.0000 0.0000 0.3238 (multiplicity 4)

The density of states at the Fermi level is 10.79 states/eV per cell. As for the density: 7.88 g/cm3. As for the magnetization: 0.190 μB per atom.

*2*
VASP calculation (PBE) on a relaxed Ba2SiOs2 crystal.

Unit cell a=6.5417 b=6.5417 c=5.5151 alpha=90.00 beta=90.00 gamma=90.00
Space group P4/mbm (No. 127)
One atom of each set of equivalent atoms:
1 Ba 0.1786 0.3214 0.0000 (multiplicity 4)
2 Si 0.0000 0.0000 0.5000 (multiplicity 2)
3 Os 0.1302 0.6302 0.5000 (multiplicity 4)

The density of states at the Fermi level is 9.71 states/eV per cell. As for the density: 9.61 g/cm3. As for the magnetization: 0.000 μB per atom.

How do the energies compare? Relative to the most stable structure, in meV/atom: *1* 336; *2* 0.

*1*
VASP calculation (PBE) on a relaxed BaSnOs3 crystal.

Unit cell a=5.0074 b=5.0074 c=5.0074 alpha=90.00 beta=90.00 gamma=90.00
Space group Pm-3m (No. 221)
One atom of each set of equivalent atoms:
1 Ba 0.0000 0.0000 0.0000 (multiplicity 1)
2 Sn 0.5000 0.5000 0.5000 (multiplicity 1)
3 Os 0.0000 0.5000 0.5000 (multiplicity 3)

The density of states at the Fermi level is 10.98 states/eV per cell. As for the density: 10.93 g/cm3. As for the magnetization: 0.455 μB per atom.

*2*
VASP calculation (PBE) on a relaxed BaSnOs3 crystal.

Unit cell a=5.1148 b=5.1148 c=5.1148 alpha=90.00 beta=90.00 gamma=90.00
Space group Pm-3m (No. 221)
One atom of each set of equivalent atoms:
1 Ba 0.0000 0.0000 0.0000 (multiplicity 1)
2 Sn 0.5000 0.5000 0.5000 (multiplicity 1)
3 Os 0.0000 0.0000 0.5000 (multiplicity 3)

The density of states at the Fermi level is 8.21 states/eV per cell. As for the density: 10.26 g/cm3. As for the magnetization: 0.793 μB per atom.

How do the energies compare? Relative to the most stable structure, in meV/atom: *1* 0; *2* 1543.

*1*
VASP calculation (PBE) on a relaxed BaSr2Os crystal.

Unit cell a=4.3326 b=4.3326 c=32.5265 alpha=90.00 beta=90.00 gamma=120.00
Space group R-3m (No. 166, hexagonal axes)
One atom of each set of equivalent atoms:
1 Ba 0.0000 0.0000 0.0000 (multiplicity 3)
2 Sr 0.0000 0.0000 0.2188 (multiplicity 6)
3 Os 0.0000 0.0000 0.5000 (multiplicity 3)

The density of states at the Fermi level is 19.13 states/eV per cell. As for the density: 4.74 g/cm3. As for the magnetization: 0.349 μB per atom.

*2*
VASP calculation (PBE) on a relaxed BaSr2Os crystal.

Unit cell a=3.7688 b=5.7340 c=14.5554 alpha=90.00 beta=90.00 gamma=90.00
Space group Immm (No. 71)
One atom of each set of equivalent atoms:
1 Ba 0.0000 0.0000 0.0000 (multiplicity 2)
2 Sr 0.0000 0.5000 0.1635 (multiplicity 4)
3 Os 0.0000 0.0000 0.5000 (multiplicity 2)

The density of states at the Fermi level is 9.15 states/eV per cell. As for the density: 5.31 g/cm3. As for the magnetization: 0.000 μB per atom.

How do the energies compare? Relative to the most stable structure, in meV/atom: *1* 175; *2* 0.

*1*
VASP calculation (PBE) on a relaxed BaSr2Os crystal.

Unit cell a=3.7308 b=3.7308 c=10.9041 alpha=90.00 beta=90.00 gamma=90.00
Space group P4/mmm (No. 123)
One atom of each set of equivalent atoms:
1 Ba 0.0000 0.0000 0.0000 (multiplicity 1)
2 Sr 0.5000 0.5000 0.3405 (multiplicity 2)
3 Os 0.0000 0.0000 0.5000 (multiplicity 1)

The density of states at the Fermi level is 5.30 states/eV per cell. As for the density: 5.50 g/cm3. As for the magnetization: 0.228 μB per atom.

*2*
VASP calculation (PBE) on a relaxed BaSr2Os crystal.

Unit cell a=3.6995 b=5.4564 c=15.8248 alpha=90.00 beta=90.00 gamma=90.00
Space group Imm2 (No. 44)
One atom of each set of equivalent atoms:
1 Ba 0.0000 0.0000 0.0000 (multiplicity 2)
2 Sr 0.0000 0.0000 0.6905 (multiplicity 2)
3 Sr 0.0000 0.5000 0.8430 (multiplicity 2)
4 Os 0.0000 0.5000 0.3445 (multiplicity 2)

The density of states at the Fermi level is 7.39 states/eV per cell. As for the density: 5.23 g/cm3. As for the magnetization: 0.000 μB per atom.

How do the energies compare? Relative to the most stable structure, in meV/atom: *1* 57; *2* 0.

*1*
VASP calculation (PBE) on a relaxed BaSr2Os crystal.

Unit cell a=7.9817 b=7.9817 c=7.9817 alpha=90.00 beta=90.00 gamma=90.00
Space group F-43m (No. 216)
One atom of each set of equivalent atoms:
1 Ba 0.0000 0.0000 0.0000 (multiplicity 4)
2 Sr 0.0000 0.0000 0.5000 (multiplicity 4)
3 Sr 0.2500 0.2500 0.2500 (multiplicity 4)
4 Os 0.2500 0.2500 0.7500 (multiplicity 4)

The density of states at the Fermi level is 11.81 states/eV per cell. As for the density: 6.57 g/cm3. As for the magnetization: 0.000 μB per atom.

*2*
VASP calculation (PBE) on a relaxed BaSr2Os crystal.

Unit cell a=3.9062 b=4.9172 c=17.2058 alpha=90.00 beta=90.00 gamma=90.00
Space group Amm2 (No. 38)
One atom of each set of equivalent atoms:
1 Ba 0.0000 0.0000 0.0000 (multiplicity 2)
2 Sr 0.0000 0.0000 0.3328 (multiplicity 2)
3 Sr 0.5000 0.0000 0.6914 (multiplicity 2)
4 Os 0.5000 0.0000 0.8606 (multiplicity 2)

The density of states at the Fermi level is 7.61 states/eV per cell. As for the density: 5.05 g/cm3. As for the magnetization: 0.000 μB per atom.

*3*
VASP calculation (PBE) on a relaxed BaSr2Os crystal.

Unit cell a=7.9458 b=7.9458 c=7.9458 alpha=90.00 beta=90.00 gamma=90.00
Space group Fm-3m (No. 225)
One atom of each set of equivalent atoms:
1 Ba 0.0000 0.0000 0.0000 (multiplicity 4)
2 Sr 0.2500 0.2500 0.2500 (multiplicity 8)
3 Os 0.0000 0.0000 0.5000 (multiplicity 4)

The density of states at the Fermi level is 8.09 states/eV per cell. As for the density: 6.66 g/cm3. As for the magnetization: 0.000 μB per atom.

How do the energies compare? Relative to the most stable structure, in meV/atom: *1* 193; *2* 0; *3* 183.

*1*
VASP calculation (PBE) on a relaxed BaSr2Os crystal.

Unit cell a=5.3085 b=5.3085 c=8.9188 alpha=90.00 beta=90.00 gamma=90.00
Space group I4/mmm (No. 139)
One atom of each set of equivalent atoms:
1 Ba 0.0000 0.0000 0.0000 (multiplicity 2)
2 Sr 0.0000 0.5000 0.2500 (multiplicity 4)
3 Os 0.0000 0.0000 0.5000 (multiplicity 2)

The density of states at the Fermi level is 5.37 states/eV per cell. As for the density: 6.64 g/cm3. As for the magnetization: 0.000 μB per atom.

*2*
VASP calculation (PBE) on a relaxed BaSr2Os crystal.

Unit cell a=3.7728 b=3.7728 c=10.7952 alpha=90.00 beta=90.00 gamma=90.00
Space group P4mm (No. 99)
One atom of each set of equivalent atoms:
1 Ba 0.0000 0.0000 0.0000 (multiplicity 1)
2 Sr 0.0000 0.0000 0.3298 (multiplicity 1)
3 Sr 0.5000 0.5000 0.6536 (multiplicity 1)
4 Os 0.5000 0.5000 0.1710 (multiplicity 1)

The density of states at the Fermi level is 4.73 states/eV per cell. As for the density: 5.43 g/cm3. As for the magnetization: 0.000 μB per atom.

*3*
VASP calculation (PBE) on a relaxed BaSr2Os crystal.

Unit cell a=5.0645 b=5.0645 c=5.0704 alpha=90.00 beta=90.00 gamma=90.00
Space group P4/mmm (No. 123)
One atom of each set of equivalent atoms:
1 Ba 0.0000 0.0000 0.0000 (multiplicity 1)
2 Sr 0.0000 0.5000 0.5000 (multiplicity 2)
3 Os 0.5000 0.5000 0.0000 (multiplicity 1)

The density of states at the Fermi level is 2.64 states/eV per cell. As for the density: 6.42 g/cm3. As for the magnetization: 0.000 μB per atom.

How do the energies compare? Relative to the most stable structure, in meV/atom: *1* 158; *2* 0; *3* 203.

*1*
VASP calculation (PBE) on a relaxed BaSr2Os crystal.

Unit cell a=6.8545 b=11.4776 c=3.8913 alpha=90.00 beta=118.49 gamma=90.00
Space group C2/m (No. 12)
One atom of each set of equivalent atoms:
1 Ba 0.0000 0.0000 0.0000 (multiplicity 2)
2 Sr 0.2500 0.2500 0.5000 (multiplicity 4)
3 Os 0.0000 0.5000 0.0000 (multiplicity 2)

The density of states at the Fermi level is 12.32 states/eV per cell. As for the density: 6.21 g/cm3. As for the magnetization: 0.096 μB per atom.

*2*
VASP calculation (PBE) on a relaxed BaSr2Os crystal.

Unit cell a=5.9798 b=4.4852 c=7.4091 alpha=90.00 beta=113.71 gamma=90.00
Space group P2/m (No. 10)
One atom of each set of equivalent atoms:
1 Ba 0.0000 0.0000 0.0000 (multiplicity 1)
2 Sr 0.3561 0.5000 0.7118 (multiplicity 2)
3 Os 0.5000 0.0000 0.0000 (multiplicity 1)

The density of states at the Fermi level is 3.02 states/eV per cell. As for the density: 4.59 g/cm3. As for the magnetization: 0.000 μB per atom.

How do the energies compare? Relative to the most stable structure, in meV/atom: *1* 497; *2* 0.

*1*
VASP calculation (PBE) on a relaxed BaTcOs2 crystal.

Unit cell a=8.9218 b=3.1018 c=6.7800 alpha=90.00 beta=103.31 gamma=90.00
Space group C2/m (No. 12)
One atom of each set of equivalent atoms:
1 Ba 0.0000 0.0000 0.0000 (multiplicity 2)
2 Tc 0.0000 0.5000 0.5000 (multiplicity 2)
3 Os 0.2197 0.0000 0.6357 (multiplicity 4)

The density of states at the Fermi level is 10.43 states/eV per cell. As for the density: 11.20 g/cm3. As for the magnetization: 0.000 μB per atom.

*2*
VASP calculation (PBE) on a relaxed BaTcOs2 crystal.

Unit cell a=7.5514 b=7.5514 c=6.5963 alpha=90.00 beta=90.00 gamma=90.00
Space group I-42d (No. 122)
One atom of each set of equivalent atoms:
1 Ba 0.0000 0.0000 0.0000 (multiplicity 4)
2 Tc 0.0000 0.0000 0.5000 (multiplicity 4)
3 Os 0.1656 0.2500 0.6250 (multiplicity 8)

The density of states at the Fermi level is 13.25 states/eV per cell. As for the density: 10.87 g/cm3. As for the magnetization: 0.000 μB per atom.

How do the energies compare? Relative to the most stable structure, in meV/atom: *1* 0; *2* 419.

*1*
VASP calculation (PBE) on a relaxed Ba2TcOs crystal.

Unit cell a=3.2892 b=4.0323 c=9.3755 alpha=90.00 beta=92.06 gamma=90.00
Space group Pm (No. 6)
One atom of each set of equivalent atoms:
1 Ba 0.0000 0.0000 0.0000 (multiplicity 1)
2 Ba 0.1322 0.5000 0.4292 (multiplicity 1)
3 Tc 0.7514 0.0000 0.6823 (multiplicity 1)
4 Os 0.4107 0.5000 0.7509 (multiplicity 1)

The density of states at the Fermi level is 4.52 states/eV per cell. As for the density: 7.52 g/cm3. As for the magnetization: 0.096 μB per atom.

*2*
VASP calculation (PBE) on a relaxed Ba2TcOs crystal.

Unit cell a=19.3936 b=3.5962 c=3.6697 alpha=90.00 beta=95.55 gamma=90.00
Space group C2/m (No. 12)
One atom of each set of equivalent atoms:
1 Ba 0.1426 0.0000 0.0754 (multiplicity 4)
2 Tc 0.0000 0.0000 0.5000 (multiplicity 2)
3 Os 0.0000 0.5000 0.0000 (multiplicity 2)

The density of states at the Fermi level is 7.92 states/eV per cell. As for the density: 7.34 g/cm3. As for the magnetization: 0.122 μB per atom.

*3*
VASP calculation (PBE) on a relaxed Ba2TcOs crystal.

Unit cell a=3.5343 b=3.5343 c=29.7731 alpha=90.00 beta=90.00 gamma=120.00
Space group R-3m (No. 166, hexagonal axes)
One atom of each set of equivalent atoms:
1 Ba 0.0000 0.0000 0.2460 (multiplicity 6)
2 Tc 0.0000 0.0000 0.0000 (multiplicity 3)
3 Os 0.0000 0.0000 0.5000 (multiplicity 3)

The density of states at the Fermi level is 12.59 states/eV per cell. As for the density: 8.71 g/cm3. As for the magnetization: 0.729 μB per atom.

How do the energies compare? Relative to the most stable structure, in meV/atom: *1* 0; *2* 14; *3* 978.